DFT (PBE) results for crystalline KTlPtO at its relaxed geometry.

Geometry as extended XYZ:
```
16
Lattice="9.916 0.000 0.000 0.000 3.282 0.000 0.000 0.000 11.850" Properties=species:S:1:pos:R:3 pbc="T T T"
K 0.000 0.000 0.000
K 0.000 1.641 5.925
K 4.958 0.000 1.082
K 4.958 1.641 7.007
Tl 2.222 0.000 8.477
Tl 2.222 1.641 2.552
Tl 7.693 0.000 8.477
Tl 7.693 1.641 2.552
Pt 0.000 0.000 3.212
Pt 0.000 1.641 9.137
Pt 4.958 0.000 9.931
Pt 4.958 1.641 4.006
O 3.691 0.000 4.144
O 3.691 1.641 10.069
O 6.225 0.000 4.144
O 6.225 1.641 10.069
```

Density, g cm⁻³: 7.8
Energy, eV per atom: -3.955
Space-group type: Amm2